Here is a relaxed Tm6AlRh crystal from the Alexandria database. Energies are from GGA-PBE.

## Properties
The value obtained for the calculated volume is 226.3 Å³/f.u. The calculated formation energy comes out at -0.11 eV/atom. Its crystal system is monoclinic.

abc: 6.713 11.346 6.550
angles: 90.00 114.90 90.00
Space group C2/m (No. 12)
One atom of each set of equivalent atoms:
Tm 0.230 0.195 0.247
Tm 0.234 0.000 0.765
Al 0.000 0.500 0.500
Rh 0.000 0.000 0.000



Here is a relaxed RbMn crystal from the Alexandria database. Energies are from GGA-PBE.

## Properties
The value obtained for the calculated volume is 65.2 Å³/f.u. The energy above the most stable polymorph in this dataset is 0.539 eV/atom. The calculated formation energy comes out at 1.34 eV/atom. Its crystal system is hexagonal.

abc: 3.4129 3.4129 12.9293
angles: 90.00 90.00 120.00
Space group P6_3mc (No. 186)
One atom of each set of equivalent atoms:
Rb 0.3333 0.6667 0.0000
Mn 0.3333 0.6667 0.7451



Here is a relaxed TmPaSbTe crystal from the Alexandria database. Energies are from GGA-PBE.

## Properties
The value obtained for the calculated volume is 104.6 Å³/f.u. The calculation puts the uncorrected formation energy at -0.70 eV per atom. Its crystal system is cubic.

abc: 7.479 7.479 7.479
angles: 90.00 90.00 90.00
Space group F-43m (No. 216)
One atom of each set of equivalent atoms:
Tm 0.000 0.000 0.000
Pa 0.000 0.000 0.500
Sb 0.250 0.250 0.750
Te 0.250 0.250 0.250



Here is a relaxed Tb5Ho12Er2 crystal from the Alexandria database. Energies are from GGA-PBE.

## Properties
The value obtained for the calculated volume is 602.6 Å³/f.u. The energy above the most stable polymorph in this dataset is 0.036 eV/atom. The calculated formation energy comes out at 0.12 eV/atom. Its crystal system is monoclinic.

abc: 15.405 9.179 8.530
angles: 90.00 92.18 90.00
Space group C2/m (No. 12)
One atom of each set of equivalent atoms:
Tb 0.000 0.000 0.000
Tb 0.206 0.500 0.522
Tb 0.231 0.000 0.071
Ho 0.057 0.500 0.837
Ho 0.074 0.000 0.374
Ho 0.130 0.308 0.171
Ho 0.149 0.180 0.740
Er 0.000 0.328 0.500



Here is a relaxed PrSiPd2Pt2 crystal from the Alexandria database. Energies are from GGA-PBE.

## Properties
The value obtained for the calculated volume is 121.4 Å³/f.u. The calculation puts the uncorrected formation energy at -0.34 eV per atom. Its crystal system is tetragonal.

abc: 4.619 4.619 5.691
angles: 90.00 90.00 90.00
Space group P4/mmm (No. 123)
One atom of each set of equivalent atoms:
Pr 0.000 0.000 0.000
Si 0.000 0.000 0.500
Pd 0.500 0.500 0.236
Pt 0.000 0.500 0.500



Here is a relaxed AlCdMo2 crystal from the Alexandria database. Energies are from GGA-PBE.

## Properties
The value obtained for the calculated volume is 66.4 Å³/f.u. The energy above the most stable polymorph in this dataset is 0.147 eV/atom. The calculated formation energy comes out at 0.25 eV/atom. Its crystal system is orthorhombic.

abc: 5.500 8.780 2.749
angles: 90.00 90.00 90.00
Space group Cmmm (No. 65)
One atom of each set of equivalent atoms:
Al 0.000 0.000 0.000
Cd 0.000 0.500 0.000
Mo 0.250 0.250 0.500



Here is a relaxed BaCd2InCo crystal from the Alexandria database. Energies are from GGA-PBE.

## Properties
The value obtained for the calculated volume is 133.2 Å³/f.u. The calculated formation energy comes out at -0.13 eV/atom. Its crystal system is tetragonal.

abc: 5.161 5.161 5.000
angles: 90.00 90.00 90.00
Space group P4/mmm (No. 123)
One atom of each set of equivalent atoms:
Ba 0.000 0.000 0.000
Cd 0.000 0.500 0.500
In 0.500 0.500 0.000
Co 0.500 0.500 0.500



Here is a relaxed Tb5ErCu4 crystal from the Alexandria database. Energies are from GGA-PBE.

## Properties
The value obtained for the calculated volume is 231.4 Å³/f.u. The calculated formation energy comes out at -0.18 eV/atom. Its crystal system is tetragonal.

abc: 3.489 3.489 19.009
angles: 90.00 90.00 90.00
Space group P4/mmm (No. 123)
One atom of each set of equivalent atoms:
Tb 0.000 0.000 0.000
Tb 0.000 0.000 0.184
Tb 0.000 0.000 0.366
Er 0.500 0.500 0.500
Cu 0.500 0.500 0.092
Cu 0.500 0.500 0.275



Copy entry 5 word for word.
Here is a relaxed PrSiPd2Pt2 crystal from the Alexandria database. Energies are from GGA-PBE.

## Properties
The value obtained for the calculated volume is 121.4 Å³/f.u. The calculation puts the uncorrected formation energy at -0.34 eV per atom. Its crystal system is tetragonal.

abc: 4.619 4.619 5.691
angles: 90.00 90.00 90.00
Space group P4/mmm (No. 123)
One atom of each set of equivalent atoms:
Pr 0.000 0.000 0.000
Si 0.000 0.000 0.500
Pd 0.500 0.500 0.236
Pt 0.000 0.500 0.500



Q: The highest calculated volume belongs to which entry?
A: Tb5Ho12Er2